Density functional theory data (PBE) for Sm3Er6Th after structural relaxation.

a b c (Å): 6.888 6.888 6.888
angles (deg): 91.12 91.12 91.12
Atoms (fractional coordinates):
Sm 0.000 0.000 0.000
Sm 0.242 0.242 0.242
Sm 0.758 0.758 0.758
Er 0.000 0.667 0.333
Er 0.171 0.500 0.829
Er 0.333 0.000 0.667
Er 0.500 0.829 0.171
Er 0.667 0.333 0.000
Er 0.829 0.171 0.500
Th 0.500 0.500 0.500

Summary:
The calculation puts the calculated volume at 32.66 A^3/atom. Its crystal system is trigonal. The excess energy over the best structure of this formula in the dataset comes out at 0.158 eV/atom. The symmetry is R32, No. 155. The calculation puts the magnetization at 0.00 μB/f.u.



Density functional theory data (PBE) for Sm2ErTh after structural relaxation.

a b c (Å): 11.879 11.879 11.879
angles (deg): 17.39 17.39 17.39
Atoms (fractional coordinates):
Sm 0.249 0.249 0.249
Sm 0.751 0.751 0.751
Er 0.000 0.000 0.000
Th 0.500 0.500 0.500

Summary:
The calculation puts the calculated volume at 32.67 A^3/atom. Its crystal system is trigonal. The excess energy over the best structure of this formula in the dataset comes out at 0.016 eV/atom. The symmetry is R-3m, No. 166. The calculation puts the magnetization at 0.00 μB/f.u.



Density functional theory data (PBE) for Sm8Er4Th after structural relaxation.

a b c (Å): 10.277 10.277 10.277
angles (deg): 41.81 41.81 41.81
Atoms (fractional coordinates):
Sm 0.201 0.753 0.753
Sm 0.215 0.215 0.215
Sm 0.247 0.247 0.799
Sm 0.247 0.799 0.247
Sm 0.753 0.201 0.753
Sm 0.753 0.753 0.201
Sm 0.785 0.785 0.785
Sm 0.799 0.247 0.247
Er 0.000 0.000 0.000
Er 0.000 0.500 0.500
Er 0.500 0.000 0.500
Er 0.500 0.500 0.000
Th 0.500 0.500 0.500

Summary:
The calculation puts the calculated volume at 33.55 A^3/atom. Its crystal system is trigonal. The symmetry is R-3m, No. 166. The calculation puts the magnetization at 0.00 μB/f.u.



Density functional theory data (PBE) for SmEr3Th2 after structural relaxation.

a b c (Å): 8.738 3.615 12.122
angles (deg): 90.00 90.07 90.00
Atoms (fractional coordinates):
Sm 0.179 0.250 0.241
Sm 0.821 0.750 0.759
Er 0.094 0.250 0.608
Er 0.360 0.750 0.046
Er 0.398 0.750 0.751
Er 0.602 0.250 0.249
Er 0.640 0.250 0.954
Er 0.906 0.750 0.392
Th 0.100 0.250 0.899
Th 0.359 0.750 0.445
Th 0.641 0.250 0.555
Th 0.900 0.750 0.101

Summary:
The calculation puts the calculated volume at 31.91 A^3/atom. Its crystal system is monoclinic. The excess energy over the best structure of this formula in the dataset comes out at 0.000 eV/atom. The symmetry is P2_1/m, No. 11. The calculation puts the magnetization at 0.00 μB/f.u.



no.,calculated formation energy (eV per atom)
1,0.314
2,0.037
3,0.234
4,0.093